[1]
The following is a PBE calculation of an optimized crystal structure of NaBiPt, from Alexandria.

Unit cell a=5.318 b=5.117 c=5.860 alpha=90.00 beta=98.79 gamma=90.00
Space group P2_1/m (No. 11)
Unique sites:
Na1 0.238 0.250 0.477 x2
Bi1 0.324 0.750 0.870 x2
Pt1 0.137 0.250 0.966 x2

Values from the calculation:
Its formation enthalpy at 0 K is -0.81 eV/f.u. As for the density of states at the Fermi level: 0.20 states/eV/atom.

***

[2]
The following is a PBE calculation of an optimized crystal structure of NaBi3Pt, from Alexandria.

Unit cell a=5.329 b=5.329 c=5.329 alpha=90.00 beta=90.00 gamma=90.00
Space group Pm-3m (No. 221)
Unique sites:
Na1 0.000 0.000 0.000 x1
Bi1 0.000 0.000 0.500 x3
Pt1 0.500 0.500 0.500 x1

Values from the calculation:
Its formation enthalpy at 0 K is 4.87 eV/f.u. As for the density of states at the Fermi level: 0.45 states/eV/atom.

***

[3]
The following is a PBE calculation of an optimized crystal structure of RbNa2BiPt, from Alexandria.

Unit cell a=5.676 b=5.676 c=5.384 alpha=90.00 beta=90.00 gamma=90.00
Space group P4/mmm (No. 123)
Unique sites:
Rb1 0.000 0.000 0.000 x1
Na1 0.000 0.500 0.500 x2
Bi1 0.500 0.500 0.000 x1
Pt1 0.500 0.500 0.500 x1

Values from the calculation:
Its formation enthalpy at 0 K is -1.10 eV/f.u. As for the density of states at the Fermi level: 0.47 states/eV/atom.